[1]
Material: YTmTa
Method: DFT, PBE
State: optimized geometry

## Properties
As for the energy relative to the elements: 0.14 eV per atom. As for the symmetry: No. 129.

Unit cell a=3.527 b=3.527 c=12.924 alpha=90.00 beta=90.00 gamma=90.00
Sites, in units of the cell vectors:
Y  0.250  0.250  0.205
Y  0.750  0.750  0.795
Tm  0.250  0.250  0.590
Tm  0.750  0.750  0.410
Ta  0.250  0.250  0.953
Ta  0.750  0.750  0.047



[2]
Material: K2PtPb2
Method: DFT, PBE
State: optimized geometry

## Properties
The polymorph energy (0 for the lowest one) is 0 meV/atom. As for the energy relative to the elements: -0.14 eV per atom. As for the symmetry: No. 127.

Unit cell a=7.340 b=7.340 c=5.956 alpha=90.00 beta=90.00 gamma=90.00
Sites, in units of the cell vectors:
K  0.181  0.319  0.000
K  0.319  0.819  0.000
K  0.681  0.181  0.000
K  0.819  0.681  0.000
Pt  0.000  0.000  0.500
Pt  0.500  0.500  0.500
Pb  0.147  0.647  0.500
Pb  0.353  0.147  0.500
Pb  0.647  0.853  0.500
Pb  0.853  0.353  0.500



> Look up the energy relative to the elements of the second one.

-0.14 eV per atom



> energy relative to the elements of number 1 (YTmTa)?

0.14 eV per atom



> The highest energy relative to the elements belongs to which entry?

YTmTa